The following is a GGA+U calculation of a relaxed Pu2CrF11 crystal, from the Alexandria database.

Properties
- Volume: 460 Å³/cell
- Space-group type: Ibam (72)
- DFT total energy: -99.98 eV/f.u.
- Size of the total moment: 22.000 μB/cell

a b c (Å): 8.496 8.496 8.496
angles (deg): 119.07 108.81 101.05
Atoms (fractional coordinates):
Pu  0.194  0.135  0.329
Pu  0.306  0.635  0.942
Pu  0.694  0.365  0.058
Pu  0.806  0.865  0.671
Cr  0.250  0.750  0.500
Cr  0.750  0.250  0.500
F  0.000  0.000  0.000
F  0.018  0.429  0.716
F  0.055  0.898  0.670
F  0.206  0.852  0.057
F  0.213  0.929  0.411
F  0.228  0.385  0.330
F  0.272  0.602  0.158
F  0.287  0.699  0.716
F  0.294  0.352  0.646
F  0.445  0.115  0.842
F  0.482  0.199  0.411
F  0.500  0.500  0.000
F  0.518  0.801  0.589
F  0.555  0.885  0.158
F  0.706  0.648  0.354
F  0.713  0.301  0.284
F  0.728  0.398  0.842
F  0.772  0.615  0.670
F  0.787  0.071  0.589
F  0.794  0.148  0.943
F  0.945  0.102  0.330
F  0.982  0.571  0.284